8
Lattice="-2.934 -3.780 2.144 2.239 -4.455 1.620 1.051 0.832 9.317" Properties=species:S:1:pos:R:3 comment="GGA-PBE NaLaDy2Hg4, relaxed" final_energy_ev_per_cell=-19.90 formation_enthalpy_0k_ev_per_atom=-0.40 space_group=R-3m pbc="T T T"
Na 0.178 -3.701 6.541
La 0.000 0.000 0.000
Dy 0.243 -5.620 9.657
Dy 0.114 -1.782 3.424
Hg 0.634 -2.430 9.406
Hg -0.210 -6.882 6.812
Hg 0.566 -0.520 6.269
Hg -0.278 -4.972 3.675